# 1
LiTbCuSn: optimized geometry, PBE.

Cell lengths 6.6850, 6.6850, 6.6850 Å; angles 90.00, 90.00, 90.00 degrees
With the nearest neighbours (Å) after each atom.
Positions (direct):
Li 0.0000 0.0000 0.0000  4 Tb 2.89, 4 Sn 2.89
Li 0.0000 0.5000 0.5000  4 Tb 2.89, 4 Sn 2.89
Li 0.5000 0.0000 0.5000  4 Tb 2.89, 4 Sn 2.89
Li 0.5000 0.5000 0.0000  4 Tb 2.89, 4 Sn 2.89
Tb 0.2500 0.2500 0.7500  4 Li 2.89, 4 Cu 2.89
Tb 0.2500 0.7500 0.2500  4 Li 2.89, 4 Cu 2.89
Tb 0.7500 0.2500 0.2500  4 Li 2.89, 4 Cu 2.89
Tb 0.7500 0.7500 0.7500  4 Li 2.89, 4 Cu 2.89
Cu 0.0000 0.0000 0.5000  4 Sn 2.89, 4 Tb 2.89
Cu 0.0000 0.5000 0.0000  4 Sn 2.89, 4 Tb 2.89
Cu 0.5000 0.0000 0.0000  4 Sn 2.89, 4 Tb 2.89
Cu 0.5000 0.5000 0.5000  4 Sn 2.89, 4 Tb 2.89
Sn 0.2500 0.2500 0.2500  4 Li 2.89, 4 Cu 2.89
Sn 0.2500 0.7500 0.7500  4 Li 2.89, 4 Cu 2.89
Sn 0.7500 0.2500 0.7500  4 Li 2.89, 4 Cu 2.89
Sn 0.7500 0.7500 0.2500  4 Li 2.89, 4 Cu 2.89

density of states at the Fermi level = 1.6 states/eV/f.u.
E_form = -0.41 eV/atom


# 2
ScSb2Se4: optimized geometry, PBE.

Cell lengths 7.6209, 7.6209, 13.2947 Å; angles 90.00, 90.00, 151.69 degrees
With the nearest neighbours (Å) after each atom.
Positions (direct):
Sc 0.1111 0.8889 0.7500  6 Se 2.69-2.82
Sc 0.8889 0.1111 0.2500  6 Se 2.69-2.82
Sb 0.3683 0.6317 0.5696  4 Se 2.78-2.91
Sb 0.3683 0.6317 0.9304  4 Se 2.78-2.91
Sb 0.6317 0.3683 0.0696  4 Se 2.78-2.91
Sb 0.6317 0.3683 0.4304  4 Se 2.78-2.91
Se 0.0000 0.0000 0.0000  4 Sb 2.85
Se 0.0000 0.0000 0.5000  4 Sb 2.85
Se 0.3004 0.6996 0.1255  1 Sb 2.78, 2 Sc 2.82
Se 0.3004 0.6996 0.3745  1 Sb 2.78, 2 Sc 2.82
Se 0.4797 0.5203 0.7500  2 Sc 2.69, 2 Sb 2.91
Se 0.5203 0.4797 0.2500  2 Sc 2.69, 2 Sb 2.91
Se 0.6996 0.3004 0.6255  1 Sb 2.78, 2 Sc 2.82
Se 0.6996 0.3004 0.8745  1 Sb 2.78, 2 Sc 2.82

energy relative to the elements, uncorrected = -4.2 eV/f.u.
density of states at the Fermi level = 1.6 states/eV/f.u.


Question: Which formula does entry 1 have?
Answer: LiTbCuSn